The following is a DFT calculation (PBE-GGA) of an optimized crystal structure of Y2PuPb.

Cell: 3.542 3.542 11.148 Å, 80.86 80.86 60.00°
Site moments in Bohr magnetons follow the coordinates.
Fractional positions:
Pb 0.000 0.000 0.000  0.01
Y 0.252 0.252 0.244  0.06
Y 0.748 0.748 0.756  0.06
Pu 0.500 0.500 0.500  5.52

Values from the calculation:
Distance to the lowest polymorph of the same formula: 108 meV per atom
Symmetry: R-3m (166)
Theoretical density: 8.77 Mg/m³

The following is a DFT calculation (PBE-GGA) of an optimized crystal structure of Nd2Dy6HoEr.

Cell: 9.684 8.769 8.769 Å, 118.15 94.59 94.59°
Fractional positions:
Nd 0.458 0.806 0.702
Nd 0.042 0.298 0.194
Nd 0.542 0.194 0.298
Nd 0.958 0.702 0.806
Dy 0.057 0.125 0.746
Dy 0.443 0.254 0.875
Dy 0.943 0.875 0.254
Dy 0.557 0.746 0.125
Dy 0.312 0.979 0.424
Dy 0.188 0.576 0.021
Dy 0.688 0.021 0.576
Dy 0.812 0.424 0.979
Dy 0.120 0.708 0.498
Dy 0.380 0.502 0.292
Dy 0.880 0.292 0.502
Dy 0.620 0.498 0.708
Ho 0.250 0.982 0.018
Ho 0.750 0.018 0.982
Er 0.250 0.407 0.593
Er 0.750 0.593 0.407

Values from the calculation:
Symmetry: C2/c (15)
Electronic total energy: -90.2 eV per cell
Theoretical density: 8.17 Mg/m³

The following is a DFT calculation (PBE-GGA) of an optimized crystal structure of AsSeBr2N.

Cell: 5.045 5.045 5.483 Å, 90.00 90.00 90.00°
Fractional positions:
As 0.000 0.000 0.500
Se 0.000 0.000 0.000
Br 0.000 0.500 0.000
Br 0.500 0.000 0.000
N 0.500 0.500 0.500

Values from the calculation:
Distance to the lowest polymorph of the same formula: 669 meV per atom
Symmetry: P4/mmm (123)
Uncorrected formation energy: 1.78 eV/atom
Theoretical density: 3.90 Mg/m³

The following is a DFT calculation (PBE-GGA) of an optimized crystal structure of V6Ga2HN.

Cell: 5.489 5.489 5.505 Å, 60.11 60.11 90.01°
Fractional positions:
V 0.256 0.256 0.487
V 0.743 0.743 0.000
V 0.256 0.744 0.000
V 0.744 0.256 0.000
V 0.257 0.257 0.000
V 0.744 0.744 0.513
Ga 0.750 0.250 0.500
Ga 0.250 0.750 0.500
H 0.500 0.500 0.000
N 0.000 0.000 0.000

Values from the calculation:
Symmetry: I4/mmm (139)
Electronic total energy: -76.7 eV per cell
Theoretical density: 6.49 Mg/m³

The following is a DFT calculation (PBE-GGA) of an optimized crystal structure of BOsRu2.

Cell: 2.829 2.829 7.283 Å, 78.80 78.80 60.00°
Fractional positions:
B 0.666 0.666 0.003
Os 0.502 0.502 0.494
Ru 0.064 0.064 0.809
Ru 0.268 0.268 0.195

Values from the calculation:
Symmetry: R3m (160)
Electronic total energy: -36.3 eV per cell
Theoretical density: 13.61 Mg/m³

The following is a DFT calculation (PBE-GGA) of an optimized crystal structure of Pr2Th.

Cell: 3.660 3.660 8.240 Å, 102.83 102.83 90.00°
Fractional positions:
Pr 0.656 0.656 0.313
Pr 0.344 0.344 0.687
Th 0.000 0.000 0.000

Values from the calculation:
Distance to the lowest polymorph of the same formula: 0 meV per atom
Symmetry: I4/mmm (139)
Theoretical density: 8.14 Mg/m³